[1]
First-principles (PBE-GGA) data for TaCuW3 after structural relaxation, as listed in Alexandria.

Unit cell a=4.7677 b=4.7677 c=4.7677 alpha=90.00 beta=90.00 gamma=90.00
Fractional coordinates of all 5 atoms:
Ta 0.0000 0.0000 0.0000
Cu 0.5000 0.5000 0.5000
W 0.0000 0.0000 0.5000
W 0.0000 0.5000 0.0000
W 0.5000 0.0000 0.0000

The energy above the most stable polymorph in this dataset is 778 meV per atom. As for the symmetry: Pm-3m, No. 221. For the formation enthalpy at 0 K, the calculation gives 2.450 eV/atom. The total energy comes out at -42.559 eV per cell.

---

[2]
First-principles (PBE-GGA) data for MgVS2 after structural relaxation, as listed in Alexandria.

Unit cell a=5.6016 b=5.6016 c=11.1318 alpha=90.00 beta=90.00 gamma=90.00
Fractional coordinates of all 16 atoms:
Mg 0.0000 0.0000 0.0000
Mg 0.0000 0.5000 0.2500
Mg 0.5000 0.0000 0.7500
Mg 0.5000 0.5000 0.5000
V 0.0000 0.0000 0.5000
V 0.0000 0.5000 0.7500
V 0.5000 0.0000 0.2500
V 0.5000 0.5000 0.0000
S 0.2383 0.2500 0.6250
S 0.2500 0.7383 0.8750
S 0.2500 0.7617 0.3750
S 0.2617 0.2500 0.1250
S 0.7383 0.7500 0.1250
S 0.7500 0.2383 0.3750
S 0.7500 0.2617 0.8750
S 0.7617 0.7500 0.6250

The calculation puts the formation energy without anion corrections at -0.89 eV/atom. As for the symmetry: I-42d, No. 122. The total energy comes out at -90.127 eV per cell.

---

[3]
First-principles (PBE-GGA) data for Ba2YCr after structural relaxation, as listed in Alexandria.

Unit cell a=3.9798 b=3.9798 c=10.1643 alpha=90.00 beta=90.00 gamma=90.00
Fractional coordinates of all 4 atoms:
Ba 0.0000 0.0000 0.0000
Ba 0.5000 0.5000 0.3587
Y 0.5000 0.5000 0.7175
Cr 0.0000 0.0000 0.5855

The energy above the most stable polymorph in this dataset is 0 meV per atom. As for the symmetry: P4mm, No. 99. For the formation enthalpy at 0 K, the calculation gives 0.392 eV/atom. The total energy comes out at -18.364 eV per cell.

---

[4]
First-principles (PBE-GGA) data for NaMgPb5 after structural relaxation, as listed in Alexandria.

Unit cell a=5.1956 b=5.1956 c=7.8800 alpha=90.00 beta=90.00 gamma=90.00
Fractional coordinates of all 7 atoms:
Na 0.0000 0.0000 0.0000
Mg 0.0000 0.0000 0.5000
Pb 0.0000 0.5000 0.2827
Pb 0.0000 0.5000 0.7173
Pb 0.5000 0.0000 0.2827
Pb 0.5000 0.0000 0.7173
Pb 0.5000 0.5000 0.0000

As for the symmetry: P4/mmm, No. 123. For the formation enthalpy at 0 K, the calculation gives -0.048 eV/atom. The total energy comes out at -21.794 eV per cell.

---

[5]
First-principles (PBE-GGA) data for Tb4ZnIr after structural relaxation, as listed in Alexandria.

Unit cell a=7.8998 b=7.8998 c=7.8998 alpha=105.93 beta=105.93 gamma=116.80
Fractional coordinates of all 12 atoms:
Tb 0.1987 0.0000 0.1987
Tb 0.2230 0.5174 0.2944
Tb 0.2230 0.9286 0.7056
Tb 0.2674 0.4730 0.7944
Tb 0.6786 0.4730 0.2056
Tb 0.7500 0.0513 0.3013
Tb 0.7500 0.4487 0.6987
Tb 0.8013 0.0000 0.8013
Zn 0.4874 0.9874 0.5000
Zn 0.7374 0.7374 0.0000
Ir 0.2381 0.2381 0.0000
Ir 0.9881 0.4881 0.5000

The energy above the most stable polymorph in this dataset is 260 meV per atom. As for the symmetry: I4_1md, No. 109. For the formation enthalpy at 0 K, the calculation gives -0.226 eV/atom. The total energy comes out at -60.019 eV per cell.

---

[6]
First-principles (PBE-GGA) data for Sr2V2In after structural relaxation, as listed in Alexandria.

Unit cell a=8.7067 b=8.7067 c=3.8927 alpha=90.00 beta=90.00 gamma=90.00
Fractional coordinates of all 10 atoms:
Sr 0.2078 0.2922 0.0000
Sr 0.2922 0.7922 0.0000
Sr 0.7078 0.2078 0.0000
Sr 0.7922 0.7078 0.0000
V 0.0743 0.5743 0.5000
V 0.4257 0.0743 0.5000
V 0.5743 0.9257 0.5000
V 0.9257 0.4257 0.5000
In 0.0000 0.0000 0.5000
In 0.5000 0.5000 0.5000

The energy above the most stable polymorph in this dataset is 0 meV per atom. As for the symmetry: P4/mbm, No. 127. For the formation enthalpy at 0 K, the calculation gives 0.523 eV/atom. The total energy comes out at -43.450 eV per cell.

---

[7]
First-principles (PBE-GGA) data for SmCd2In after structural relaxation, as listed in Alexandria.

Unit cell a=4.5667 b=4.5667 c=4.8352 alpha=90.00 beta=90.00 gamma=90.00
Fractional coordinates of all 4 atoms:
Sm 0.0000 0.0000 0.0000
Cd 0.0000 0.5000 0.5000
Cd 0.5000 0.0000 0.5000
In 0.5000 0.5000 0.0000

The energy above the most stable polymorph in this dataset is 0 meV per atom. As for the symmetry: P4/mmm, No. 123. For the formation enthalpy at 0 K, the calculation gives -0.342 eV/atom. The total energy comes out at -10.657 eV per cell.

---

[8]
First-principles (PBE-GGA) data for PmGdErAl after structural relaxation, as listed in Alexandria.

Unit cell a=7.6204 b=7.6204 c=7.6204 alpha=90.00 beta=90.00 gamma=90.00
Fractional coordinates of all 16 atoms:
Pm 0.0000 0.0000 0.0000
Pm 0.0000 0.5000 0.5000
Pm 0.5000 0.0000 0.5000
Pm 0.5000 0.5000 0.0000
Gd 0.0000 0.0000 0.5000
Gd 0.0000 0.5000 0.0000
Gd 0.5000 0.0000 0.0000
Gd 0.5000 0.5000 0.5000
Er 0.2500 0.2500 0.2500
Er 0.2500 0.7500 0.7500
Er 0.7500 0.2500 0.7500
Er 0.7500 0.7500 0.2500
Al 0.2500 0.2500 0.7500
Al 0.2500 0.7500 0.2500
Al 0.7500 0.2500 0.2500
Al 0.7500 0.7500 0.7500

As for the symmetry: F-43m, No. 216. For the formation enthalpy at 0 K, the calculation gives -0.078 eV/atom. The total energy comes out at -109.796 eV per cell.

---

[9]
First-principles (PBE-GGA) data for PmPr2Dy2Ho after structural relaxation, as listed in Alexandria.

Unit cell a=5.7171 b=9.9241 c=7.0444 alpha=90.00 beta=90.00 gamma=90.00
Fractional coordinates of all 12 atoms:
Pm 0.0000 0.0003 0.0000
Pm 0.0000 0.9997 0.5000
Pr 0.0000 0.3290 0.2502
Pr 0.0000 0.6710 0.7502
Pr 0.5000 0.4996 0.0000
Pr 0.5000 0.5004 0.5000
Dy 0.0000 0.3345 0.7498
Dy 0.0000 0.6655 0.2498
Dy 0.5000 0.1667 0.2502
Dy 0.5000 0.8333 0.7502
Ho 0.5000 0.1636 0.7499
Ho 0.5000 0.8364 0.2499

As for the symmetry: Pmc2_1, No. 26. For the formation enthalpy at 0 K, the calculation gives 0.067 eV/atom. The total energy comes out at -55.382 eV per cell.

---

[10]
First-principles (PBE-GGA) data for ReNiIr3 after structural relaxation, as listed in Alexandria.

Unit cell a=4.3628 b=4.3628 c=4.3628 alpha=90.00 beta=90.00 gamma=90.00
Fractional coordinates of all 5 atoms:
Re 0.0000 0.0000 0.0000
Ni 0.5000 0.5000 0.5000
Ir 0.0000 0.5000 0.5000
Ir 0.5000 0.0000 0.5000
Ir 0.5000 0.5000 0.0000

The energy above the most stable polymorph in this dataset is 1687 meV per atom. As for the symmetry: Pm-3m, No. 221. For the formation enthalpy at 0 K, the calculation gives 1.784 eV/atom. The total energy comes out at -35.891 eV per cell.

---

[11]
First-principles (PBE-GGA) data for Pm2HfSc after structural relaxation, as listed in Alexandria.

Unit cell a=3.3041 b=3.3041 c=35.7547 alpha=90.00 beta=90.00 gamma=120.00
Fractional coordinates of all 12 atoms:
Pm 0.0000 0.0000 0.0877
Pm 0.0000 0.0000 0.9123
Pm 0.3333 0.6667 0.5789
Pm 0.3333 0.6667 0.7544
Pm 0.6667 0.3333 0.2456
Pm 0.6667 0.3333 0.4211
Hf 0.0000 0.0000 0.0000
Hf 0.3333 0.6667 0.6667
Hf 0.6667 0.3333 0.3333
Sc 0.0000 0.0000 0.5000
Sc 0.3333 0.6667 0.1667
Sc 0.6667 0.3333 0.8333

The energy above the most stable polymorph in this dataset is 212 meV per atom. As for the symmetry: R-3m, No. 166. For the formation enthalpy at 0 K, the calculation gives 0.364 eV/atom. The total energy comes out at -72.996 eV per cell.

---

[12]
First-principles (PBE-GGA) data for Na2ZnCd7 after structural relaxation, as listed in Alexandria.

Unit cell a=7.4804 b=7.4804 c=7.4804 alpha=60.00 beta=60.00 gamma=60.00
Fractional coordinates of all 10 atoms:
Na 0.2500 0.2500 0.2500
Na 0.7500 0.7500 0.7500
Zn 0.0000 0.0000 0.0000
Cd 0.2427 0.2427 0.7573
Cd 0.2427 0.7573 0.2427
Cd 0.2427 0.7573 0.7573
Cd 0.5000 0.5000 0.5000
Cd 0.7573 0.2427 0.2427
Cd 0.7573 0.2427 0.7573
Cd 0.7573 0.7573 0.2427

As for the symmetry: Fm-3m, No. 225. For the formation enthalpy at 0 K, the calculation gives 0.137 eV/atom. The total energy comes out at -8.951 eV per cell.